1.
{"formula": "PrSm3Er5", "functional": "PBE-GGA", "state": "relaxed", "cell": [[9.3998, 0.0191, 1.4828], [2.5916, 9.0355, 1.4828], [5.7381, 4.3328, 9.1486]], "species": ["Er", "Er", "Er", "Er", "Er", "Er", "Er", "Er", "Er", "Er", "Sm", "Sm", "Sm", "Sm", "Sm", "Sm", "Pr", "Pr"], "frac_coords": [[0.8490, 0.3515, 0.2479], [0.1510, 0.6485, 0.7521], [0.1839, 0.1839, 0.0408], [0.7401, 0.2599, 0.0000], [0.6485, 0.1510, 0.7521], [0.2599, 0.7401, 0.0000], [0.4954, 0.4954, 0.2220], [0.5046, 0.5046, 0.7780], [0.3515, 0.8490, 0.2479], [0.8161, 0.8161, 0.9592], [0.3004, 0.3004, 0.1914], [0.6996, 0.6996, 0.8086], [0.0000, 0.0000, 0.5000], [0.6592, 0.6592, 0.3636], [0.3408, 0.3408, 0.6364], [0.0000, 0.0000, 0.0000], [0.1593, 0.1593, 0.5934], [0.8407, 0.8407, 0.4066]], "e_form_mev_per_atom": 511, "e_above_lowest_polymorph_ev_per_atom": 0.184}



2.
{"formula": "Sr2Ac2Pm", "functional": "PBE-GGA", "state": "relaxed", "cell": [[4.8577, 0.0000, -0.7492], [-0.1155, 4.8563, -0.7492], [-0.8868, -0.9082, 10.3733]], "species": ["Pm", "Ac", "Ac", "Sr", "Sr"], "frac_coords": [[0.0000, 0.0000, 0.0000], [0.4110, 0.4110, 0.8221], [0.5890, 0.5890, 0.1779], [0.2500, 0.7500, 0.5000], [0.7500, 0.2500, 0.5000]], "e_form_mev_per_atom": 425}



3.
{"formula": "NaCu2PO4", "functional": "PBE-GGA", "state": "relaxed", "cell": [[4.9152, 0.1597, 0.0000], [-0.2485, 4.9115, 0.0000], [-2.3333, -2.5356, 3.9716]], "species": ["O", "O", "O", "O", "Cu", "Cu", "P", "Na"], "frac_coords": [[0.7914, 0.4249, 0.2163], [0.4249, 0.7914, 0.2163], [0.5694, 0.5694, 0.7663], [0.1970, 0.1970, 0.7663], [0.7573, 0.2573, 0.5147], [0.2573, 0.7573, 0.5147], [0.4971, 0.4971, 0.9942], [0.0058, 0.0058, 0.0117]], "e_form_raw_kj_per_mol_atoms": -137}



4.
{"formula": "YOsPd3", "functional": "PBE-GGA", "state": "relaxed", "cell": [[-1.0508, -4.6856, -0.5691], [3.0397, -1.1178, 3.5908], [-3.6110, 0.4226, 3.1883]], "species": ["Os", "Pd", "Pd", "Pd", "Y"], "frac_coords": [[0.0000, 0.0000, 0.0000], [0.0000, 0.5000, 0.0000], [0.0000, 0.0000, 0.5000], [0.5000, 0.0000, 0.0000], [0.5000, 0.5000, 0.5000]], "e_form_mev_per_atom": 554, "e_above_lowest_polymorph_ev_per_atom": 0.000}



5.
{"formula": "Tb2TiCo", "functional": "PBE-GGA", "state": "relaxed", "cell": [[-1.0400, -1.9838, 2.4983], [2.0551, -0.6897, 2.5611], [-3.0231, 6.9151, 6.4858]], "species": ["Tb", "Tb", "Co", "Ti"], "frac_coords": [[0.8966, 0.8966, 0.3103], [0.1034, 0.1034, 0.6897], [0.5000, 0.5000, 0.5000], [0.0000, 0.0000, 0.0000]], "e_form_mev_per_atom": 464}



6.
{"formula": "SiTe2Au", "functional": "PBE-GGA", "state": "relaxed", "cell": [[0.0785, 4.0623, 0.1975], [-3.8284, -0.0080, 1.6895], [2.3382, -0.3011, 5.2618]], "species": ["Te", "Te", "Au", "Si"], "frac_coords": [[0.3750, 0.4095, 0.6245], [0.8750, 0.8748, 0.1240], [0.3750, 0.3710, 0.1248], [0.8750, 0.8448, 0.6267]], "e_form_raw_kj_per_mol_atoms": 6}



7.
{"formula": "MgTcMo", "functional": "PBE-GGA", "state": "relaxed", "cell": [[-3.9941, -1.2679, 5.9339], [-2.9314, -3.7154, 5.2573], [1.4070, 1.1577, 2.0633]], "species": ["Mg", "Mo", "Tc"], "frac_coords": [[0.0023, 0.0023, 0.9977], [0.3249, 0.3249, 0.6751], [0.6728, 0.6728, 0.3272]], "e_form_mev_per_atom": 203, "e_above_lowest_polymorph_ev_per_atom": 0.104}



8.
{"formula": "CdSeOF2", "functional": "PBE-GGA", "state": "relaxed", "cell": [[-3.0014, 2.1777, -2.7967], [-3.1991, -0.0862, 3.3662], [1.2309, 3.3075, 1.2545]], "species": ["O", "F", "F", "Cd", "Se"], "frac_coords": [[0.0000, 0.0000, 0.5000], [0.5000, 0.0000, 0.0000], [0.0000, 0.5000, 0.0000], [0.5000, 0.5000, 0.5000], [0.0000, 0.0000, 0.0000]], "e_above_lowest_polymorph_ev_per_atom": 0.000, "e_form_raw_kj_per_mol_atoms": -71}



9.
{"formula": "Li3InPd", "functional": "PBE-GGA", "state": "relaxed", "cell": [[3.8163, 0.0001, -0.0038], [0.0009, 3.8190, 0.0012], [1.8913, 1.8993, 6.8370]], "species": ["In", "Li", "Li", "Li", "Pd"], "frac_coords": [[0.4473, 0.2504, 0.8118], [0.1274, 0.4311, 0.4484], [0.6266, 0.9317, 0.4480], [0.8128, 0.6146, 0.0860], [0.9938, 0.7973, 0.7170]], "e_form_mev_per_atom": -204, "e_above_lowest_polymorph_ev_per_atom": 0.152}



10.
{"formula": "LiSiN", "functional": "PBE-GGA", "state": "relaxed", "cell": [[2.8465, 0.0000, 0.0000], [0.0000, 4.5262, 0.0000], [-1.2227, 0.0000, 5.3816]], "species": ["Si", "Si", "Li", "Li", "N", "N"], "frac_coords": [[0.8202, 0.6906, 0.1578], [0.1798, 0.1906, 0.8422], [0.4604, 0.7109, 0.6045], [0.5396, 0.2109, 0.3955], [0.7051, 0.4244, 0.9009], [0.2949, 0.9244, 0.0991]], "e_above_lowest_polymorph_ev_per_atom": 0.003, "e_form_raw_kj_per_mol_atoms": -59}



11.
{"formula": "K2LiGa3Ag12", "functional": "PBE-GGA", "state": "relaxed", "cell": [[8.4675, 0.1593, 0.1130], [4.3202, 7.2843, 0.1130], [4.3202, 2.5147, 6.8373]], "species": ["Ag", "Ag", "Ag", "Ag", "Ag", "Ag", "Ag", "Ag", "Ag", "Ag", "Ag", "Ag", "K", "K", "Ga", "Ga", "Ga", "Li"], "frac_coords": [[0.4670, 0.8237, 0.8237], [0.7880, 0.1462, 0.7880], [0.1462, 0.7880, 0.7880], [0.2120, 0.2120, 0.8538], [0.2120, 0.8538, 0.2120], [0.1763, 0.1763, 0.5330], [0.8538, 0.2120, 0.2120], [0.5330, 0.1763, 0.1763], [0.7880, 0.7880, 0.1462], [0.8237, 0.4670, 0.8237], [0.8237, 0.8237, 0.4670], [0.1763, 0.5330, 0.1763], [0.5726, 0.5726, 0.5726], [0.4274, 0.4274, 0.4274], [0.5000, 0.0000, 0.0000], [0.0000, 0.0000, 0.5000], [0.0000, 0.5000, 0.0000], [0.0000, 0.0000, 0.0000]], "e_form_mev_per_atom": 164}



12.
{"formula": "GaGeAsBr2", "functional": "PBE-GGA", "state": "relaxed", "cell": [[5.4632, 0.0000, 0.0000], [0.0000, 5.4632, 0.0000], [0.0000, 0.0000, 5.1587]], "species": ["As", "Ga", "Br", "Br", "Ge"], "frac_coords": [[0.0000, 0.0000, 0.5000], [0.5000, 0.5000, 0.5000], [0.5000, 0.0000, 0.0000], [0.0000, 0.5000, 0.0000], [0.0000, 0.0000, 0.0000]], "e_above_lowest_polymorph_ev_per_atom": 0.000, "e_form_raw_kj_per_mol_atoms": 11}



Here are the calculated total energy numbers, same order: -4.128; -2.841; -5.766; -6.100; -5.601; -3.684; -7.394; -3.352; -2.939; -5.830; -2.470; -3.014 (eV/atom).
Here are the calculated calculated density numbers, same order: 7.2; 5.4; 4.2; 8.8; 7.4; 8.1; 7.4; 5.0; 4.0; 2.3; 6.4; 4.1 (g cm⁻³).